# Hf2Si2Mo PBE optimized geometry
data_Hf2Si2Mo
_space_group_name_H-M_alt 'P 1'
_space_group_IT_number 1
_space_group_name_Hall 'P 1'
_cell_length_a 6.4528
_cell_length_b 6.4528
_cell_length_c 6.4528
_cell_angle_alpha 144.51
_cell_angle_beta 144.51
_cell_angle_gamma 51.06
loop_
_atom_site_label
_atom_site_type_symbol
_atom_site_fract_x
_atom_site_fract_y
_atom_site_fract_z
_atom_site_occupancy
Hf1 Hf 0.7500 0.2500 0.5000 1
Hf2 Hf 0.2500 0.7500 0.5000 1
Mo1 Mo 0.0000 0.0000 0.0000 1
Si1 Si 0.4052 0.4052 0.0000 1
Si2 Si 0.5948 0.5948 0.0000 1
# Polymorph energy (0 for the lowest one) in eV per atom: 0.946
# VASP energy in eV per cell: -40.8